[1]
PuNpCuNi | PBE | optimized geometry

Lattice parameters (Å, degrees): 4.465 4.465 4.465 60.00 60.00 60.00
Atoms (fractional coordinates):
1 Np 0.000 0.000 0.000
2 Cu 0.500 0.500 0.500
3 Ni 0.250 0.250 0.250
4 Pu 0.750 0.750 0.750

Calculated formation energy   35 meV per atom
Raw total energy   -9.252 eV per atom
Symmetry   F-43m


[2]
Er6Cd5In | PBE | optimized geometry

Lattice parameters (Å, degrees): 5.245 7.445 8.308 90.00 71.60 90.00
Atoms (fractional coordinates):
1 Cd 0.666 0.500 0.668
2 Cd 0.334 0.500 0.332
3 Cd 0.331 0.000 0.338
4 Er 0.167 0.749 0.666
5 Er 0.500 0.251 0.000
6 Er 0.167 0.251 0.666
7 In 0.000 0.000 0.000
8 Cd 0.669 0.000 0.662
9 Er 0.833 0.251 0.334
10 Er 0.833 0.749 0.334
11 Cd 0.000 0.500 0.000
12 Er 0.500 0.749 0.000

Calculated formation energy   -344 meV per atom
Raw total energy   -3.235 eV per atom
Symmetry   Cmmm


[3]
NdIn7Hg12 | PBE | optimized geometry

Lattice parameters (Å, degrees): 8.563 8.563 8.563 104.18 104.18 104.18
Atoms (fractional coordinates):
1 In 0.238 0.407 0.115
2 Hg 0.824 0.271 0.893
3 In 0.885 0.762 0.593
4 Hg 0.893 0.824 0.271
5 Hg 0.146 0.621 0.438
6 Nd 0.000 0.000 0.000
7 In 0.500 0.500 0.500
8 Hg 0.379 0.562 0.854
9 Hg 0.438 0.146 0.621
10 In 0.593 0.885 0.762
11 Hg 0.854 0.379 0.562
12 Hg 0.107 0.176 0.729
13 In 0.407 0.115 0.238
14 Hg 0.271 0.893 0.824
15 In 0.762 0.593 0.885
16 Hg 0.562 0.854 0.379
17 Hg 0.621 0.438 0.146
18 Hg 0.729 0.107 0.176
19 Hg 0.176 0.729 0.107
20 In 0.115 0.238 0.407

Calculated formation energy   -43 meV per atom
Raw total energy   -1.421 eV per atom
Symmetry   R-3


[4]
NbRe2As4 | PBE | optimized geometry

Lattice parameters (Å, degrees): 6.791 6.791 7.225 105.49 105.49 116.27
Atoms (fractional coordinates):
1 Re 0.797 0.054 0.031
2 As 0.210 0.132 0.146
3 As 0.819 0.336 0.847
4 As 0.756 0.319 0.339
5 Nb 0.213 0.459 0.432
6 Re 0.243 0.477 0.036
7 As 0.728 0.719 0.170
8 As 0.336 0.819 0.347
9 As 0.132 0.210 0.646
10 Re 0.054 0.797 0.531
11 Nb 0.459 0.213 0.932
12 Re 0.477 0.243 0.536
13 As 0.719 0.728 0.670
14 As 0.319 0.756 0.839

Calculated formation energy   -112 meV per atom
Raw total energy   -7.764 eV per atom
Symmetry   Cc


[5]
TlCuPd | PBE | optimized geometry

Lattice parameters (Å, degrees): 3.409 3.409 5.058 109.69 109.69 90.00
Atoms (fractional coordinates):
1 Tl 0.618 0.618 0.236
2 Cu 0.295 0.295 0.590
3 Pd 0.937 0.937 0.874

Calculated formation energy   25 meV per atom
Raw total energy   -3.860 eV per atom
Symmetry   I4mm


[6]
PbI2N | PBE | optimized geometry

Lattice parameters (Å, degrees): 5.637 5.637 5.637 60.00 60.00 60.00
Atoms (fractional coordinates):
1 N 0.000 0.000 0.000
2 Pb 0.500 0.500 0.500
3 I 0.250 0.250 0.250
4 I 0.750 0.750 0.750

Raw total energy   -2.910 eV per atom
Formation energy without anion corrections   0.874 eV/atom
Symmetry   Fm-3m


[7]
H2IF | PBE | optimized geometry

Lattice parameters (Å, degrees): 5.029 37.389 7.068 154.40 48.43 152.44
Atoms (fractional coordinates):
1 F 0.948 0.448 0.290
2 H 0.296 0.911 0.843
3 H 0.885 0.895 0.242
4 H 0.958 0.440 0.387
5 I 0.352 0.921 0.631
6 F 0.116 0.889 0.091
7 H 0.386 0.429 0.453
8 I 0.899 0.416 0.630

Raw total energy   -3.276 eV per atom
Symmetry   P1


[8]
ZnGe2Au6 | PBE | optimized geometry

Lattice parameters (Å, degrees): 4.845 6.113 6.590 75.80 68.43 66.65
Atoms (fractional coordinates):
1 Au 0.500 0.679 0.321
2 Au 0.835 0.973 0.358
3 Zn 0.000 0.500 0.500
4 Ge 0.852 0.312 0.985
5 Au 0.500 0.321 0.679
6 Au 0.686 0.793 0.836
7 Ge 0.148 0.688 0.015
8 Au 0.165 0.027 0.642
9 Au 0.314 0.207 0.164

Calculated formation energy   -10 meV per atom
Raw total energy   -3.362 eV per atom
Symmetry   C2/m


[9]
Ba2In2Pb5 | PBE | optimized geometry

Lattice parameters (Å, degrees): 5.099 5.099 11.775 90.00 90.00 90.00
Atoms (fractional coordinates):
1 Pb 0.000 0.500 0.277
2 Ba 0.000 0.000 0.500
3 In 0.500 0.500 0.120
4 Pb 0.500 0.000 0.277
5 Pb 0.500 0.000 0.723
6 Ba 0.000 0.000 0.000
7 Pb 0.500 0.500 0.500
8 Pb 0.000 0.500 0.723
9 In 0.500 0.500 0.880

Calculated formation energy   -308 meV per atom
Raw total energy   -3.404 eV per atom
Symmetry   P4/mmm


[10]
MnZnIr2 | PBE | optimized geometry

Lattice parameters (Å, degrees): 4.241 4.241 3.079 90.00 90.00 90.00
Atoms (fractional coordinates):
1 Zn 0.000 0.500 0.500
2 Ir 0.500 0.500 0.000
3 Ir 0.000 0.000 0.000
4 Mn 0.500 0.000 0.500

Calculated formation energy   -177 meV per atom
Raw total energy   -7.219 eV per atom
Symmetry   P4/mmm


[11]
Ac2YRe3O12 | PBE | optimized geometry

Lattice parameters (Å, degrees): 6.854 6.854 6.854 65.07 65.07 65.07
Atoms (fractional coordinates):
1 O 0.860 0.415 0.860
2 O 0.140 0.140 0.585
3 O 0.720 0.720 0.103
4 O 0.860 0.860 0.415
5 Re 0.000 0.500 0.000
6 O 0.415 0.860 0.860
7 Y 0.000 0.000 0.000
8 O 0.720 0.103 0.720
9 Ac 0.375 0.375 0.375
10 Re 0.500 0.000 0.000
11 O 0.280 0.897 0.280
12 O 0.140 0.585 0.140
13 Re 0.000 0.000 0.500
14 Ac 0.625 0.625 0.625
15 O 0.280 0.280 0.897
16 O 0.103 0.720 0.720
17 O 0.897 0.280 0.280
18 O 0.585 0.140 0.140

Raw total energy   -8.380 eV per atom
Formation energy without anion corrections   -2.184 eV/atom
Symmetry   R-3m


[12]
LaCu2Pd10 | PBE | optimized geometry

Lattice parameters (Å, degrees): 5.190 6.939 6.912 81.93 67.95 68.04
Atoms (fractional coordinates):
1 Pd 0.719 0.775 0.786
2 Pd 0.651 0.358 0.341
3 Pd 0.008 0.642 0.341
4 Pd 0.992 0.358 0.659
5 Cu 0.500 0.500 0.000
6 Pd 0.349 0.642 0.659
7 La 0.000 0.000 0.000
8 Pd 0.000 0.000 0.500
9 Pd 0.281 0.225 0.214
10 Cu 0.000 0.500 0.000
11 Pd 0.500 0.000 0.500
12 Pd 0.494 0.225 0.786
13 Pd 0.506 0.775 0.214

Calculated formation energy   -281 meV per atom
Raw total energy   -5.285 eV per atom
Symmetry   Fmmm


[13]
Nd2SmTh | PBE | optimized geometry

Lattice parameters (Å, degrees): 5.780 5.780 5.780 60.00 60.00 60.00
Atoms (fractional coordinates):
1 Th 0.000 0.000 0.000
2 Sm 0.500 0.500 0.500
3 Nd 0.750 0.750 0.750
4 Nd 0.250 0.250 0.250

Calculated formation energy   199 meV per atom
Raw total energy   -5.220 eV per atom
Symmetry   Fm-3m


[14]
ThTaPb | PBE | optimized geometry

Lattice parameters (Å, degrees): 3.469 3.469 13.573 90.00 90.00 90.00
Atoms (fractional coordinates):
1 Ta 0.000 0.500 0.950
2 Th 0.500 0.000 0.792
3 Th 0.000 0.500 0.208
4 Pb 0.000 0.500 0.594
5 Pb 0.500 0.000 0.406
6 Ta 0.500 0.000 0.050

Calculated formation energy   94 meV per atom
Raw total energy   -7.566 eV per atom
Symmetry   P4/nmm